Run 1
VASP calculation (GGA-PBEsol) on ScBr2N after structural relaxation.

Cell lengths 9.7534, 9.7534, 7.2117 Å; angles 132.55, 132.55, 90.00 degrees
Last column: nearest neighbours and their distance in Å.
Sites, in units of the cell vectors:
1 Br 0.2180 0.3750 0.2500  2 Sc 2.65
2 Br 0.6250 0.9680 0.7500  2 Sc 2.65
3 Br 0.0320 0.8750 0.2500  2 Sc 2.65
4 Br 0.1250 0.7820 0.7500  2 Sc 2.65
5 Sc 0.2500 0.7500 0.5000  2 N 2.11
6 Sc 0.0000 0.0000 0.0000  2 N 2.11
7 N 0.5000 0.5000 0.0000  2 Sc 2.11
8 N 0.7500 0.2500 0.5000  2 Sc 2.11

Properties
- space group = I-42d (122)

---

Run 2
VASP calculation (GGA-PBEsol) on ScBr2N after structural relaxation.

Cell lengths 4.6773, 4.6773, 4.6773 Å; angles 60.00, 60.00, 60.00 degrees
Last column: nearest neighbours and their distance in Å.
Sites, in units of the cell vectors:
1 Br 0.7500 0.7500 0.7500  4 Sc 2.86, 4 N 2.86
2 Br 0.2500 0.2500 0.2500  4 N 2.86, 4 Sc 2.86
3 N 0.0000 0.0000 0.0000  8 Br 2.86
4 Sc 0.5000 0.5000 0.5000  8 Br 2.86

Properties
- space group = Fm-3m (225)

---

The structure with the most favorable energy is run 1; the runner-up is 649 meV per atom above it.

---

Run 1
VASP calculation (GGA-PBEsol) on TeBr2N after structural relaxation.

Cell lengths 4.9481, 4.9481, 4.9481 Å; angles 60.00, 60.00, 60.00 degrees
Last column: nearest neighbours and their distance in Å.
Sites, in units of the cell vectors:
1 Br 0.2500 0.2500 0.2500  4 Te 3.03, 4 N 3.03
2 Br 0.7500 0.7500 0.7500  4 Te 3.03, 4 N 3.03
3 Te 0.5000 0.5000 0.5000  8 Br 3.03
4 N 0.0000 0.0000 0.0000  8 Br 3.03

Properties
- space group = Fm-3m (225)

---

Run 2
VASP calculation (GGA-PBEsol) on TeBr2N after structural relaxation.

Cell lengths 3.2712, 3.2712, 9.7038 Å; angles 80.30, 80.30, 60.00 degrees
Last column: nearest neighbours and their distance in Å.
Sites, in units of the cell vectors:
1 Br 0.1144 0.1144 0.6567  3 N 2.41
2 Br 0.8856 0.8856 0.3433  3 N 2.41
3 Te 0.0000 0.0000 0.0000  2 Br 3.27, 6 Te 3.27
4 N 0.5000 0.5000 0.5000  6 Br 2.41

Properties
- space group = R-3m (166)

---

The structure with the most favorable energy is run 2; the runner-up is 107 meV per atom above it.

---

Run 1
VASP calculation (GGA-PBEsol) on NaPSe2Br after structural relaxation.

Cell lengths 4.9634, 5.0699, 5.0699 Å; angles 90.00, 90.00, 90.00 degrees
Last column: nearest neighbours and their distance in Å.
Sites, in units of the cell vectors:
1 P 0.5000 0.5000 0.5000  8 Se 3.55, 4 Br 3.58
2 Na 0.0000 0.0000 0.0000  2 Br 2.48, 4 Se 2.53
3 Se 0.0000 0.0000 0.5000  2 Na 2.53
4 Se 0.0000 0.5000 0.0000  2 Na 2.53
5 Br 0.5000 0.0000 0.0000  2 Na 2.48

Properties
- space group = P4/mmm (123)

---

Run 2
VASP calculation (GGA-PBEsol) on NaPSe2Br after structural relaxation.

Cell lengths 4.7855, 4.7855, 5.3638 Å; angles 90.00, 90.00, 90.00 degrees
Last column: nearest neighbours and their distance in Å.
Sites, in units of the cell vectors:
1 Na 0.5000 0.5000 0.5000  4 Br 3.38, 8 Se 3.59
2 Br 0.0000 0.0000 0.5000  2 P 2.68
3 P 0.0000 0.0000 0.0000  4 Se 2.39
4 Se 0.0000 0.5000 0.0000  2 P 2.39
5 Se 0.5000 0.0000 0.0000  2 P 2.39

Properties
- space group = P4/mmm (123)

---

The structure with the most favorable energy is run 2; the runner-up is 1163 meV per atom above it.